GGA-PBE PrMg2Ga6, relaxed; crystal system = orthorhombic; energy above the lowest structure with this stoichiometry = 0.0 meV per atom; formation enthalpy at 0 K = -0.26 eV/atom
1.0
-2.0910 3.6109 6.2123
2.0910 -3.6109 6.2123
2.0910 3.6109 -6.2123
Pr Mg Ga
1 2 6
direct
0.0000 0.0000 0.0000
0.3830 0.8830 0.5000
0.6170 0.1170 0.5000
0.0033 0.6925 0.3109
0.3227 0.5000 0.8227
0.3816 0.6925 0.6891
0.6184 0.3075 0.3109
0.6773 0.5000 0.1773
0.9967 0.3075 0.6891



GGA-PBE PrMg2Ga, relaxed; crystal system = orthorhombic; energy above the lowest structure with this stoichiometry = 31.1 meV per atom; formation enthalpy at 0 K = -0.29 eV/atom
1.0
1.8857 -10.8257 0.0000
1.8857 10.8257 0.0000
0.0000 0.0000 4.8360
Pr Mg Ga
2 4 2
direct
0.1096 0.8904 0.7500
0.8904 0.1096 0.2500
0.2577 0.7423 0.2500
0.4664 0.5336 0.7500
0.5336 0.4664 0.2500
0.7423 0.2577 0.7500
0.3391 0.6609 0.7500
0.6609 0.3391 0.2500



GGA-PBE Pr3Mg5Ga2, relaxed; crystal system = orthorhombic; formation enthalpy at 0 K = -0.17 eV/atom
1.0
-6.3592 6.5694 3.1697
6.3592 -6.5694 3.1697
6.3592 6.5694 -3.1697
Pr Mg Ga
6 10 4
direct
0.1405 0.2390 0.3795
0.2500 0.2500 0.0000
0.3595 0.7390 0.0985
0.6405 0.2610 0.9015
0.7500 0.7500 0.0000
0.8595 0.7610 0.6205
0.0103 0.7500 0.2603
0.1052 0.6589 0.7641
0.2500 0.7500 0.5000
0.3948 0.1589 0.5536
0.4897 0.7500 0.7397
0.5103 0.2500 0.2603
0.6052 0.8411 0.4464
0.7500 0.2500 0.5000
0.8948 0.3411 0.2359
0.9897 0.2500 0.7397
0.1476 0.8589 0.0065
0.3524 0.3589 0.7114
0.6476 0.6411 0.2886
0.8524 0.1411 0.9935



GGA-PBE Pr2MgGa, relaxed; crystal system = tetragonal; formation enthalpy at 0 K = -0.32 eV/atom
1.0
3.7625 0.0000 0.0000
0.0000 3.7625 0.0000
0.0000 0.0000 7.8656
Pr Mg Ga
2 1 1
direct
0.0000 0.0000 0.2313
0.0000 0.0000 0.7687
0.5000 0.5000 0.5000
0.5000 0.5000 0.0000